Entry 1:
DFT (PBE) results for a geometry-optimized ZrMnIr2 structure.

Cell: 8.8781 8.8781 8.8781 Å, 18.96 18.96 18.96°
Positions (direct):
1 Zr 0.7500 0.7500 0.7500
2 Ir 0.9941 0.9941 0.9941
3 Ir 0.5059 0.5059 0.5059
4 Mn 0.2500 0.2500 0.2500

Properties
Its space group is R-3m (166). The magnetization comes out at 3.96 μB/f.u. The value obtained for the energy of formation from the pure elements is -0.118 eV/atom.



Entry 2:
DFT (PBE) results for a geometry-optimized Zr3MnIr structure.

Cell: 5.0209 5.0209 5.0209 Å, 90.00 90.00 90.00°
Positions (direct):
1 Zr 0.0000 0.0000 0.5000
2 Zr 0.0000 0.5000 0.0000
3 Zr 0.5000 0.0000 0.0000
4 Ir 0.0000 0.0000 0.0000
5 Mn 0.5000 0.5000 0.5000

Properties
Its space group is Pm-3m (221). For the distance to the lowest polymorph of the same formula, the calculation gives 0.444 eV per atom. The magnetization comes out at 0.65 μB/f.u. The value obtained for the energy of formation from the pure elements is 0.833 eV/atom.



Entry 3:
DFT (PBE) results for a geometry-optimized ZrMnIr2 structure.

Cell: 4.7487 4.7487 4.9268 Å, 78.51 78.51 36.27°
Positions (direct):
1 Mn 0.7500 0.7500 0.7500
2 Ir 0.0049 0.0049 0.9782
3 Ir 0.4951 0.4951 0.5218
4 Zr 0.2500 0.2500 0.2500

Properties
Its space group is C2/m (12). The magnetization comes out at 3.35 μB/f.u. The value obtained for the energy of formation from the pure elements is -0.250 eV/atom.



Entry 4:
DFT (PBE) results for a geometry-optimized ZrMn2Ir structure.

Cell: 4.9058 4.9058 4.9058 Å, 132.07 132.07 70.12°
Positions (direct):
1 Ir 0.7500 0.2500 0.5000
2 Mn 0.2500 0.7500 0.5000
3 Mn 0.0000 0.0000 0.0000
4 Zr 0.5000 0.5000 0.0000

Properties
Its space group is I-4m2 (119). The magnetization comes out at 6.75 μB/f.u. The value obtained for the energy of formation from the pure elements is -0.139 eV/atom.



Entry 5:
DFT (PBE) results for a geometry-optimized MoIr5 structure.

Cell: 5.0945 5.0945 4.3965 Å, 90.00 90.00 120.00°
Positions (direct):
1 Mo 0.0000 0.0000 0.0000
2 Ir 0.5000 0.0000 0.5000
3 Ir 0.5000 0.5000 0.5000
4 Ir 0.6667 0.3333 0.0000
5 Ir 0.3333 0.6667 0.0000
6 Ir 0.0000 0.5000 0.5000

Properties
Its space group is P6/mmm (191). For the distance to the lowest polymorph of the same formula, the calculation gives 0.744 eV per atom. The magnetization comes out at 0.23 μB/f.u. The value obtained for the energy of formation from the pure elements is 0.539 eV/atom.



Entry 6:
DFT (PBE) results for a geometry-optimized MoIr4 structure.

Cell: 4.6403 4.6403 4.6403 Å, 90.00 90.00 90.00°
Positions (direct):
1 Ir 0.0000 0.0000 0.0000
2 Ir 0.5000 0.5000 0.0000
3 Ir 0.0000 0.5000 0.5000
4 Ir 0.5000 0.0000 0.5000
5 Mo 0.5000 0.5000 0.5000

Properties
Its space group is Pm-3m (221). The magnetization comes out at 0.00 μB/f.u. The value obtained for the energy of formation from the pure elements is 2.057 eV/atom.



Entry 7:
DFT (PBE) results for a geometry-optimized Mo2Ir structure.

Cell: 5.1352 5.1352 8.3185 Å, 90.00 90.00 60.00°
Positions (direct):
1 Mo 0.0000 0.0000 0.5000
2 Mo 0.6579 0.1710 0.2500
3 Mo 0.0000 0.0000 0.0000
4 Mo 0.1710 0.6579 0.2500
5 Mo 0.3421 0.8290 0.7500
6 Mo 0.1710 0.1710 0.2500
7 Mo 0.8290 0.8290 0.7500
8 Mo 0.8290 0.3421 0.7500
9 Ir 0.6667 0.6667 0.4347
10 Ir 0.6667 0.6667 0.0653
11 Ir 0.3333 0.3333 0.5653
12 Ir 0.3333 0.3333 0.9347

Properties
Its space group is P6_3/mmc (194). For the distance to the lowest polymorph of the same formula, the calculation gives 0.384 eV per atom. The magnetization comes out at 0.00 μB/f.u. The value obtained for the energy of formation from the pure elements is 0.235 eV/atom.



Entry 8:
DFT (PBE) results for a geometry-optimized MoIr structure.

Cell: 4.4041 4.4041 10.9554 Å, 90.00 90.00 120.00°
Positions (direct):
1 Ir 0.0000 0.0000 0.6259
2 Ir 0.6667 0.3333 0.2519
3 Ir 0.3333 0.6667 0.9989
4 Ir 0.3333 0.6667 0.7481
5 Ir 0.0000 0.0000 0.3741
6 Ir 0.6667 0.3333 0.0011
7 Mo 0.6667 0.3333 0.4966
8 Mo 0.6667 0.3333 0.7520
9 Mo 0.3333 0.6667 0.5034
10 Mo 0.3333 0.6667 0.2480
11 Mo 0.0000 0.0000 0.8753
12 Mo 0.0000 0.0000 0.1247

Properties
Its space group is P-3m1 (164). The magnetization comes out at 0.00 μB/f.u. The value obtained for the energy of formation from the pure elements is -0.067 eV/atom.



Number 1: DFT total energy -35.91 eV for the cell shown. Number 2: DFT total energy -39.51 eV for the cell shown. Number 3: DFT total energy -36.44 eV for the cell shown. Number 4: DFT total energy -36.30 eV for the cell shown. Number 5: DFT total energy -51.90 eV for the cell shown. Number 6: DFT total energy -35.99 eV for the cell shown. Number 7: DFT total energy -119.27 eV for the cell shown. Number 8: DFT total energy -118.96 eV for the cell shown.